Record 1
BaLi4Tl2Cd: optimized geometry, PBE-GGA.

Cell lengths 4.8004, 4.8004, 10.3656 Å; angles 76.61, 76.61, 60.00 degrees
Positions (direct):
Li 0.5880 0.5880 0.2361
Cd 0.5000 0.5000 0.5000
Tl 0.2416 0.2416 0.2753
Li 0.4120 0.4120 0.7639
Li 0.1369 0.1369 0.5893
Ba 0.0000 0.0000 0.0000
Tl 0.7584 0.7584 0.7247
Li 0.8631 0.8631 0.4107

Calculated values
For the energy of formation from the pure elements, the calculation gives -0.216 eV/atom. The calculation puts the volume at 24.9 A^3/atom. Its calculated density is 5.72 g/cm³.

***

Record 2
LiV3Se: optimized geometry, PBE-GGA.

Cell lengths 4.1679, 4.1679, 4.1679 Å; angles 90.00, 90.00, 90.00 degrees
Positions (direct):
Li 0.0000 0.0000 0.0000
V 0.0000 0.0000 0.5000
Se 0.5000 0.5000 0.5000
V 0.5000 0.0000 0.0000
V 0.0000 0.5000 0.0000

Calculated values
The calculation puts the volume at 14.5 A^3/atom. The value obtained for the relative energy among the computed polymorphs is 1.98 eV/f.u. Its calculated density is 5.48 g/cm³.

***

Record 3
Sc6Zn5Cu: optimized geometry, PBE-GGA.

Cell lengths 4.7211, 6.6714, 7.4762 Å; angles 90.00, 71.54, 90.00 degrees
Positions (direct):
Sc 0.1647 0.2481 0.6708
Zn 0.6681 0.5000 0.6643
Zn 0.3309 0.0000 0.3379
Zn 0.3319 0.5000 0.3357
Zn 0.6691 0.0000 0.6621
Zn 0.0000 0.5000 0.0000
Sc 0.5000 0.7544 0.0000
Sc 0.1647 0.7519 0.6708
Sc 0.8353 0.7519 0.3292
Sc 0.8353 0.2481 0.3292
Sc 0.5000 0.2456 0.0000
Cu 0.0000 0.0000 0.0000

Calculated values
For the energy of formation from the pure elements, the calculation gives -0.353 eV/atom. The calculation puts the volume at 18.6 A^3/atom. Its calculated density is 4.91 g/cm³.

***

Record 4
YSeBr2O: optimized geometry, PBE-GGA.

Cell lengths 4.6184, 4.6184, 4.9729 Å; angles 90.00, 90.00, 90.00 degrees
Positions (direct):
Br 0.5000 0.0000 0.0000
Br 0.0000 0.5000 0.0000
Y 0.5000 0.5000 0.5000
Se 0.0000 0.0000 0.5000
O 0.0000 0.0000 0.0000

Calculated values
The calculation puts the volume at 21.2 A^3/atom. The value obtained for the relative energy among the computed polymorphs is 0.00 eV/f.u. Its calculated density is 5.38 g/cm³.

***

Record 5
Rb3Mg2SnI9: optimized geometry, PBE-GGA.

Cell lengths 8.4775, 8.4775, 10.4239 Å; angles 90.00, 90.00, 120.00 degrees
Positions (direct):
I 0.5000 0.0000 0.0000
I 0.3441 0.1720 0.6759
Sn 0.0000 0.0000 0.5000
I 0.1720 0.8280 0.3241
Mg 0.6667 0.3333 0.8422
I 0.6559 0.8280 0.3241
I 0.8280 0.1720 0.6759
Rb 0.6667 0.3333 0.3274
I 0.5000 0.5000 0.0000
Rb 0.3333 0.6667 0.6726
I 0.0000 0.5000 0.0000
I 0.8280 0.6559 0.6759
Rb 0.0000 0.0000 0.0000
Mg 0.3333 0.6667 0.1578
I 0.1720 0.3441 0.3241

Calculated values
The value obtained for the calculated total energy is -39.960 eV per formula unit. The calculation puts the volume at 43.3 A^3/atom. Its calculated density is 4.01 g/cm³.

***

Record 6
Er5FeBi2: optimized geometry, PBE-GGA.

Cell lengths 5.3680, 8.4681, 13.8547 Å; angles 90.00, 90.00, 108.48 degrees
Positions (direct):
Er 0.0534 0.1068 0.1219
Bi 0.1422 0.2843 0.5813
Er 0.2677 0.5353 0.3914
Bi 0.8578 0.7157 0.0813
Er 0.9466 0.8932 0.8781
Er 0.9466 0.8932 0.6219
Er 0.6881 0.3761 0.2500
Fe 0.8375 0.6750 0.7500
Er 0.7323 0.4647 0.6086
Fe 0.1625 0.3250 0.2500
Bi 0.8578 0.7157 0.4187
Bi 0.1422 0.2843 0.9187
Er 0.0534 0.1068 0.3781
Er 0.2677 0.5353 0.1086
Er 0.3119 0.6239 0.7500
Er 0.7323 0.4647 0.8914

Calculated values
For the energy of formation from the pure elements, the calculation gives -0.073 eV/atom. The calculation puts the volume at 37.3 A^3/atom. Its calculated density is 7.28 g/cm³.

***

Record 7
ZrScTiSe2: optimized geometry, PBE-GGA.

Cell lengths 4.9012, 4.9058, 4.9012 Å; angles 90.00, 90.00, 90.00 degrees
Positions (direct):
Se 0.5000 0.0000 0.0000
Zr 0.0000 0.5000 0.0000
Ti 0.0000 0.0000 0.0000
Se 0.0000 0.0000 0.5000
Sc 0.5000 0.5000 0.5000

Calculated values
The value obtained for the calculated total energy is -29.984 eV per formula unit. The calculation puts the volume at 23.6 A^3/atom. Its calculated density is 4.82 g/cm³.